A plane-wave DFT calculation with GGA-PBEsol was carried out for an optimized crystal structure of Er3SiSe2O10F.

Summary:
Formation energy without anion corrections (eV per atom): -2.659
Magnetization (Bohr magnetons per cell): 0.00
Electronic total energy (eV/atom): -7.52

Lattice parameters (Å, degrees): 5.8081 15.2488 10.2238 90.00 90.00 90.00
Last column: nearest neighbours and their distance in Å.
Space group Pnna (No. 52)
Symmetry-distinct sites (fractional):
1 Er 0.0691 0.1528 0.1138 (multiplicity 8)  6 O 2.17-2.41, 1 F 2.18
2 Er 0.2500 0.0000 0.3738 (multiplicity 4)  8 O 2.22-2.36
3 Si 0.2500 0.0000 0.8577 (multiplicity 4)  4 O 1.64-1.65
4 Se 0.0316 0.1758 0.6154 (multiplicity 8)  3 O 1.72-1.74
5 O 0.0200 0.0859 0.5139 (multiplicity 8)  1 Se 1.72
6 O 0.0207 0.5279 0.7262 (multiplicity 8)  1 Si 1.64
7 O 0.1273 0.7454 0.4690 (multiplicity 8)  1 Se 1.74
8 O 0.1814 0.6389 0.2189 (multiplicity 8)  1 Se 1.72
9 O 0.2293 0.0894 0.9471 (multiplicity 8)  1 Si 1.65
10 F 0.0650 0.7500 0.7500 (multiplicity 4)  2 Er 2.18